A plane-wave DFT calculation with PBE-GGA was carried out for NaSrW3 after structural relaxation.

The distance to the lowest polymorph of the same formula comes out at 0.619 eV per atom.

It has space group Pm-3m (No. 221), with a = 4.9247 Å, b = 4.9247 Å, c = 4.9247 Å, α = 90.00°, β = 90.00° and γ = 90.00°. The distinct sites, in fractional coordinates, are Na at (0.0000, 0.0000, 0.0000), Sr at (0.5000, 0.5000, 0.5000) and W at (0.0000, 0.5000, 0.5000).



A plane-wave DFT calculation with PBE-GGA was carried out for K3MnBi2Te6 after structural relaxation.

The value obtained for the uncorrected formation energy is -0.5574 eV/atom.

It has space group C2/m (No. 12), with a = 7.7315 Å, b = 13.3929 Å, c = 8.6594 Å, α = 90.00°, β = 107.46° and γ = 90.00°. The distinct sites, in fractional coordinates, are K at (0.0000, 0.0000, 0.0000), K at (0.0000, 0.3238, 0.0000), Mn at (0.0000, 0.5000, 0.5000), Bi at (0.0000, 0.1653, 0.5000), Te at (0.2177, 0.3485, 0.6990) and Te at (0.2345, 0.5000, 0.2980).



A plane-wave DFT calculation with PBE-GGA was carried out for K3Pu3NpTe8 after structural relaxation.

The value obtained for the uncorrected formation energy is -1.0137 eV/atom.

It has space group R-3m (No. 166, hexagonal axes), with a = 9.0210 Å, b = 9.0210 Å, c = 24.8828 Å, α = 90.00°, β = 90.00° and γ = 120.00°. The distinct sites, in fractional coordinates, are K at (0.0000, 0.5000, 0.0000), Pu at (0.0000, 0.5000, 0.5000), Np at (0.0000, 0.0000, 0.5000), Te at (0.0000, 0.0000, 0.2361) and Te at (0.0025, 0.5012, 0.2347).



no.,calculated volume (Å³/cell)
1,119.4
2,855.3
3,1753.6